Record 1
# PmErTm3

PmErTm3 after structural relaxation (PBE-GGA, the Alexandria database).

a = 6.2321 Å, b = 5.5877 Å, c = 9.5180 Å
α = 90.00°, β = 109.07°, γ = 90.00°
Closest atoms and distances in Å follow each position.
Sites, in units of the cell vectors:
Pm 0.0676 0.2500 0.3000  10 Tm 3.49-3.61, 2 Er 3.59-3.61
Pm 0.9324 0.7500 0.7000  10 Tm 3.49-3.61, 2 Er 3.59-3.61
Er 0.4662 0.2500 0.0993  8 Tm 3.47-3.60, 2 Er 3.48, 2 Pm 3.59-3.61
Er 0.5338 0.7500 0.9007  8 Tm 3.47-3.60, 2 Er 3.48, 2 Pm 3.59-3.61
Tm 0.1345 0.7500 0.0986  4 Er 3.47-3.60, 5 Tm 3.48-3.62, 3 Pm 3.49-3.59
Tm 0.2679 0.2500 0.7014  3 Er 3.48-3.58, 3 Pm 3.49-3.61, 6 Tm 3.49-3.62
Tm 0.3357 0.7500 0.5006  7 Tm 3.47-3.62, 4 Pm 3.49-3.61, 1 Er 3.60
Tm 0.6643 0.2500 0.4994  7 Tm 3.47-3.62, 4 Pm 3.49-3.61, 1 Er 3.60
Tm 0.7321 0.7500 0.2986  3 Er 3.48-3.58, 3 Pm 3.49-3.61, 6 Tm 3.49-3.62
Tm 0.8655 0.2500 0.9014  4 Er 3.47-3.60, 5 Tm 3.48-3.62, 3 Pm 3.49-3.59

Summary:
Symmetry = No. 11
Formation energy from the elements = 4 meV/atom
Density = 8.7 g/cm³
E_tot = -4.541 eV/atom

---

Record 2
# Pm2ErTm

Pm2ErTm after structural relaxation (PBE-GGA, the Alexandria database).

a = 5.6920 Å, b = 5.6920 Å, c = 5.6920 Å
α = 60.00°, β = 60.00°, γ = 60.00°
Closest atoms and distances in Å follow each position.
Sites, in units of the cell vectors:
Pm 0.2500 0.2500 0.2500  4 Er 3.49, 4 Tm 3.49
Pm 0.7500 0.7500 0.7500  4 Er 3.49, 4 Tm 3.49
Er 0.0000 0.0000 0.0000  8 Pm 3.49
Tm 0.5000 0.5000 0.5000  8 Pm 3.49

Summary:
Symmetry = No. 225
Formation energy from the elements = 107 meV/atom
Density = 8.0 g/cm³
E_tot = -4.527 eV/atom

---

Record 3
# PmEr7Tm5

PmEr7Tm5 after structural relaxation (PBE-GGA, the Alexandria database).

a = 8.5921 Å, b = 8.5921 Å, c = 8.5921 Å
α = 134.58°, β = 100.39°, γ = 96.76°
Closest atoms and distances in Å follow each position.
Sites, in units of the cell vectors:
Pm 0.0000 0.0000 0.0000  7 Er 3.48-3.86, 4 Tm 3.73
Er 0.2233 0.5524 0.6709  5 Tm 3.42-3.44, 5 Er 3.44-3.76
Er 0.3046 0.3046 0.0000  6 Tm 3.32-3.46, 1 Pm 3.48, 1 Er 3.51
Er 0.3808 0.0529 0.3279  4 Er 3.40-3.79, 5 Tm 3.40-3.44, 1 Pm 3.66
Er 0.6118 0.6118 0.0000  7 Er 3.51-3.88, 4 Tm 3.67
Er 0.7250 0.0529 0.6721  4 Er 3.40-3.79, 5 Tm 3.40-3.44, 1 Pm 3.66
Er 0.7999 0.2999 0.5000  4 Tm 3.08, 4 Er 3.40-3.44
Er 0.8815 0.5524 0.3291  5 Tm 3.42-3.44, 5 Er 3.44-3.76
Tm 0.0311 0.0359 0.4633  5 Er 3.08-3.44, 2 Tm 3.11-3.36
Tm 0.0311 0.5678 0.9951  5 Er 3.08-3.44, 2 Tm 3.11-3.36
Tm 0.3043 0.8043 0.5000  6 Er 3.32-3.44, 4 Tm 3.36
Tm 0.5727 0.0359 0.0049  5 Er 3.08-3.44, 2 Tm 3.11-3.36
Tm 0.5727 0.5678 0.5367  5 Er 3.08-3.44, 2 Tm 3.11-3.36

Summary:
Symmetry = No. 44
Formation energy from the elements = 256 meV/atom
Density = 8.6 g/cm³
E_tot = -4.286 eV/atom

---

Record 4
# Pm5Er12Tm2

Pm5Er12Tm2 after structural relaxation (PBE-GGA, the Alexandria database).

a = 9.9120 Å, b = 9.9120 Å, c = 8.6324 Å
α = 112.30°, β = 112.30°, γ = 53.62°
Closest atoms and distances in Å follow each position.
Sites, in units of the cell vectors:
Pm 0.0000 0.0000 0.0000  6 Er 3.17-3.49
Pm 0.2358 0.2358 0.7870  5 Er 3.11-3.45
Pm 0.2892 0.2892 0.2762  8 Er 3.55-3.90, 2 Tm 3.73, 1 Pm 3.92
Pm 0.7108 0.7108 0.7238  8 Er 3.55-3.90, 2 Tm 3.73, 1 Pm 3.92
Pm 0.7642 0.7642 0.2130  5 Er 3.11-3.45
Er 0.0424 0.6680 0.5987  1 Tm 3.27, 4 Er 3.28-3.55, 2 Pm 3.45-3.58
Er 0.0443 0.0443 0.6808  1 Er 2.84, 2 Pm 3.11-3.17
Er 0.1489 0.5950 0.0452  3 Pm 3.19-3.55, 1 Er 3.31
Er 0.3320 0.9576 0.4013  1 Tm 3.27, 4 Er 3.28-3.55, 2 Pm 3.45-3.58
Er 0.4050 0.8511 0.9548  3 Pm 3.19-3.55, 1 Er 3.31
Er 0.4428 0.4428 0.7887  7 Er 3.28-3.58, 2 Tm 3.43, 1 Pm 3.66
Er 0.5572 0.5572 0.2113  7 Er 3.28-3.58, 2 Tm 3.43, 1 Pm 3.66
Er 0.5950 0.1489 0.0452  3 Pm 3.19-3.55, 1 Er 3.31
Er 0.6680 0.0424 0.5987  1 Tm 3.27, 4 Er 3.28-3.55, 2 Pm 3.45-3.58
Er 0.8511 0.4050 0.9548  3 Pm 3.19-3.55, 1 Er 3.31
Er 0.9557 0.9557 0.3192  1 Er 2.84, 2 Pm 3.11-3.17
Er 0.9576 0.3320 0.4013  1 Tm 3.27, 4 Er 3.28-3.55, 2 Pm 3.45-3.58
Tm 0.3270 0.6730 0.5000  1 Tm 3.09, 6 Er 3.25-3.43
Tm 0.6730 0.3270 0.5000  1 Tm 3.09, 6 Er 3.25-3.43

Summary:
Symmetry = No. 12
Formation energy from the elements = 217 meV/atom
Density = 8.2 g/cm³
E_tot = -4.386 eV/atom

---

Record 5
# Pm3ErTm2

Pm3ErTm2 after structural relaxation (PBE-GGA, the Alexandria database).

a = 3.6376 Å, b = 8.4855 Å, c = 13.0408 Å
α = 103.47°, β = 90.00°, γ = 90.08°
Closest atoms and distances in Å follow each position.
Sites, in units of the cell vectors:
Pm 0.0007 0.1387 0.1893  1 Er 3.50, 6 Tm 3.51-3.66, 5 Pm 3.58-3.64
Pm 0.0010 0.7980 0.5295  4 Tm 3.52-3.61, 8 Pm 3.58-3.68
Pm 0.4994 0.8593 0.3041  2 Tm 3.50-3.51, 8 Pm 3.58-3.68, 2 Er 3.64-3.65
Pm 0.5006 0.1407 0.6959  2 Tm 3.50-3.51, 8 Pm 3.58-3.68, 2 Er 3.64-3.65
Pm 0.9990 0.2020 0.4705  4 Tm 3.52-3.61, 8 Pm 3.58-3.68
Pm 0.9993 0.8613 0.8107  1 Er 3.50, 6 Tm 3.51-3.66, 5 Pm 3.58-3.64
Er 0.0005 0.4758 0.8639  3 Er 3.48-3.64, 3 Pm 3.50-3.65, 6 Tm 3.50-3.57
Er 0.9995 0.5242 0.1361  3 Er 3.48-3.64, 3 Pm 3.50-3.65, 6 Tm 3.50-3.57
Tm 0.4993 0.2003 0.9716  4 Er 3.50-3.57, 5 Pm 3.51-3.63, 3 Tm 3.64
Tm 0.5003 0.4744 0.3578  7 Pm 3.50-3.66, 2 Er 3.52-3.53, 3 Tm 3.63-3.64
Tm 0.4997 0.5256 0.6422  7 Pm 3.50-3.66, 2 Er 3.52-3.53, 3 Tm 3.63-3.64
Tm 0.5007 0.7997 0.0284  4 Er 3.50-3.57, 5 Pm 3.51-3.63, 3 Tm 3.64

Summary:
Symmetry = No. 2
Formation energy from the elements = 18 meV/atom
Density = 8.0 g/cm³
E_tot = -4.608 eV/atom

---

Record 6
# Pm19Er4Tm6

Pm19Er4Tm6 after structural relaxation (PBE-GGA, the Alexandria database).

a = 10.9117 Å, b = 10.9117 Å, c = 10.9117 Å
α = 109.47°, β = 109.47°, γ = 109.47°
Closest atoms and distances in Å follow each position.
Sites, in units of the cell vectors:
Pm 0.0000 0.0000 0.0000  6 Pm 3.30
Pm 0.0000 0.2620 0.2620  5 Pm 3.30-3.61, 2 Er 3.36, 2 Tm 3.39
Pm 0.0000 0.7380 0.7380  5 Pm 3.30-3.61, 2 Er 3.36, 2 Tm 3.39
Pm 0.0166 0.7993 0.3425  1 Tm 3.21, 2 Er 3.37-3.47, 1 Pm 3.42
Pm 0.2007 0.2173 0.5432  1 Tm 3.21, 2 Er 3.37-3.47, 1 Pm 3.42
Pm 0.2173 0.5432 0.2007  1 Tm 3.21, 2 Er 3.37-3.47, 1 Pm 3.42
Pm 0.2620 0.0000 0.2620  5 Pm 3.30-3.61, 2 Er 3.36, 2 Tm 3.39
Pm 0.2620 0.2620 0.0000  5 Pm 3.30-3.61, 2 Er 3.36, 2 Tm 3.39
Pm 0.3260 0.7827 0.9834  1 Tm 3.21, 2 Er 3.37-3.47, 1 Pm 3.42
Pm 0.3425 0.0166 0.7993  1 Tm 3.21, 2 Er 3.37-3.47, 1 Pm 3.42
Pm 0.4568 0.6740 0.6575  1 Tm 3.21, 2 Er 3.37-3.47, 1 Pm 3.42
Pm 0.5432 0.2007 0.2173  1 Tm 3.21, 2 Er 3.37-3.47, 1 Pm 3.42
Pm 0.6575 0.4568 0.6740  1 Tm 3.21, 2 Er 3.37-3.47, 1 Pm 3.42
Pm 0.6740 0.6575 0.4568  1 Tm 3.21, 2 Er 3.37-3.47, 1 Pm 3.42
Pm 0.7380 0.0000 0.7380  5 Pm 3.30-3.61, 2 Er 3.36, 2 Tm 3.39
Pm 0.7380 0.7380 0.0000  5 Pm 3.30-3.61, 2 Er 3.36, 2 Tm 3.39
Pm 0.7827 0.9834 0.3260  1 Tm 3.21, 2 Er 3.37-3.47, 1 Pm 3.42
Pm 0.7993 0.3425 0.0166  1 Tm 3.21, 2 Er 3.37-3.47, 1 Pm 3.42
Pm 0.9834 0.3260 0.7827  1 Tm 3.21, 2 Er 3.37-3.47, 1 Pm 3.42
Er 0.0000 0.0000 0.6415  9 Pm 3.36-3.47
Er 0.0000 0.6415 0.0000  9 Pm 3.36-3.47
Er 0.3585 0.3585 0.3585  9 Pm 3.36-3.47
Er 0.6415 0.0000 0.0000  9 Pm 3.36-3.47
Tm 0.1254 0.6254 0.5000  1 Tm 3.16, 4 Pm 3.21-3.39
Tm 0.3746 0.5000 0.8746  1 Tm 3.16, 4 Pm 3.21-3.39
Tm 0.5000 0.1254 0.6254  1 Tm 3.16, 4 Pm 3.21-3.39
Tm 0.5000 0.8746 0.3746  1 Tm 3.16, 4 Pm 3.21-3.39
Tm 0.6254 0.5000 0.1254  1 Tm 3.16, 4 Pm 3.21-3.39
Tm 0.8746 0.3746 0.5000  1 Tm 3.16, 4 Pm 3.21-3.39

Summary:
Symmetry = No. 197
Formation energy from the elements = 372 meV/atom
Density = 7.4 g/cm³
E_tot = -4.295 eV/atom